DFT (GGA-PBE) results for a relaxed structure of CePr2Rh3.

Cell and atoms, written as CIF:
```
data_CePr2Rh3
_chemical_formula_sum 'Ce2 Pr4 Rh6'
_cell_length_a 5.817
_cell_length_b 8.101
_cell_length_c 7.111
_cell_angle_alpha 106.54
_cell_angle_beta 114.14
_cell_angle_gamma 90.00
_space_group_name_H-M_alt 'P 1'
_space_group_IT_number 1
_space_group_name_Hall 'P 1'
loop_
_atom_site_label
_atom_site_type_symbol
_atom_site_fract_x
_atom_site_fract_y
_atom_site_fract_z
_atom_site_occupancy
Rh1 Rh 0.502 0.250 0.000 1
Rh2 Rh 0.148 0.075 0.299 1
Rh3 Rh 0.498 0.750 0.000 1
Rh4 Rh 0.850 0.425 0.701 1
Rh5 Rh 0.852 0.925 0.701 1
Rh6 Rh 0.150 0.575 0.299 1
Pr1 Pr 0.670 0.584 0.338 1
Pr2 Pr 0.668 0.084 0.338 1
Pr3 Pr 0.332 0.916 0.662 1
Pr4 Pr 0.330 0.416 0.662 1
Ce1 Ce 0.998 0.750 0.000 1
Ce2 Ce 0.002 0.250 0.000 1
```

Summary:
Total magnetization ... 0.00 μB per cell
Uncorrected energy ... -6.83 eV per atom
Space group ... No. 15
Density of states at the Fermi level ... 0.7370 states/eV/atom
Energy relative to the elements ... -576.7 meV/atom